[1]
Computed, not measured: a relaxed LaInSO2 crystal at the GGA-PBE level of DFT.

Its total magnetic moment is 0.0 μB/f.u. Its density of states at the Fermi level is 0.00 states/eV/cell. The calculated volume is 20.48 A^3/atom. The value obtained for the energy relative to the elements, uncorrected is -2.151 eV per atom. As for the space-group type: P2_1/m, No. 11.

Cell lengths 4.2213, 7.2761, 7.7812 Å; angles 121.01, 90.00, 90.00 degrees
Fractional coordinates of all 10 atoms:
La 0.2500 0.6919 0.9584
La 0.7500 0.3081 0.0416
In 0.2500 0.6573 0.4617
In 0.7500 0.3427 0.5383
S 0.2500 0.9979 0.7783
S 0.7500 0.0021 0.2217
O 0.7500 0.5444 0.4036
O 0.2500 0.4556 0.5964
O 0.7500 0.4915 0.8604
O 0.2500 0.5085 0.1396

[2]
Computed, not measured: a relaxed Sc12TcBi6 crystal at the GGA-PBE level of DFT.

Its total magnetic moment is 0.0 μB/f.u. Its density of states at the Fermi level is 13.34 states/eV/cell. The calculated volume is 27.08 A^3/atom. Its energy of formation is -0.327 eV/atom. As for the space-group type: R-3, No. 148.

Cell lengths 8.1557, 8.1557, 8.1557 Å; angles 99.98, 99.98, 99.98 degrees
Fractional coordinates of all 19 atoms:
Sc 0.7901 0.5897 0.4670
Sc 0.4670 0.7901 0.5897
Sc 0.5897 0.4670 0.7901
Sc 0.2099 0.4103 0.5330
Sc 0.5330 0.2099 0.4103
Sc 0.4103 0.5330 0.2099
Sc 0.0566 0.0030 0.3111
Sc 0.9970 0.6889 0.9434
Sc 0.6889 0.9434 0.9970
Sc 0.9434 0.9970 0.6889
Sc 0.0030 0.3111 0.0566
Sc 0.3111 0.0566 0.0030
Tc 0.0000 0.0000 0.0000
Bi 0.6772 0.8868 0.3455
Bi 0.6545 0.3228 0.1132
Bi 0.1132 0.6545 0.3228
Bi 0.3228 0.1132 0.6545
Bi 0.3455 0.6772 0.8868
Bi 0.8868 0.3455 0.6772

[3]
Computed, not measured: a relaxed La4Pm6Nd crystal at the GGA-PBE level of DFT.

For the offset from the most stable computed form, the calculation gives 0.0 meV/atom. Its total magnetic moment is 0.0 μB/f.u. Its density of states at the Fermi level is 16.92 states/eV/cell. The calculated volume is 36.69 A^3/atom. Its energy of formation is 0.272 eV/atom. As for the space-group type: I-42m, No. 121.

Cell lengths 9.6751, 9.6751, 9.6751 Å; angles 61.15, 137.84, 137.84 degrees
Fractional coordinates of all 11 atoms:
La 0.0000 0.6315 0.0099
La 0.3784 0.3685 0.3685
La 0.0000 0.0099 0.6315
La 0.6216 0.9901 0.9901
Pm 0.0000 0.7819 0.4446
Pm 0.0000 0.4446 0.7819
Pm 0.3373 0.5554 0.5554
Pm 0.5000 0.5000 0.0000
Pm 0.6627 0.2181 0.2181
Pm 0.5000 0.0000 0.5000
Nd 0.0000 0.0000 0.0000

[4]
Computed, not measured: a relaxed HfAlRe crystal at the GGA-PBE level of DFT.

For the offset from the most stable computed form, the calculation gives 0.0 meV/atom. Its total magnetic moment is 0.0 μB/f.u. Its density of states at the Fermi level is 7.94 states/eV/cell. The calculated volume is 17.15 A^3/atom. Its energy of formation is -0.465 eV/atom. As for the space-group type: Amm2, No. 38.

Cell lengths 5.2635, 5.2635, 8.5939 Å; angles 90.00, 90.00, 120.21 degrees
Fractional coordinates of all 12 atoms:
Hf 0.3346 0.6654 0.3101
Hf 0.6730 0.3270 0.1810
Hf 0.6730 0.3270 0.8190
Hf 0.3346 0.6654 0.6899
Al 0.9949 0.0051 0.2512
Al 0.9949 0.0051 0.7488
Al 0.3434 0.1700 0.5000
Al 0.8300 0.6566 0.5000
Re 0.8324 0.1676 0.5000
Re 0.6557 0.8320 0.0000
Re 0.1680 0.3443 0.0000
Re 0.1654 0.8346 0.0000

[5]
Computed, not measured: a relaxed Y4Tm5Pu crystal at the GGA-PBE level of DFT.

For the offset from the most stable computed form, the calculation gives 0.0 meV/atom. Its total magnetic moment is 5.8 μB/f.u. Its density of states at the Fermi level is 19.13 states/eV/cell. The calculated volume is 30.77 A^3/atom. Its energy of formation is 0.071 eV/atom. As for the space-group type: C2/m, No. 12.

Cell lengths 3.4785, 11.2316, 8.5030 Å; angles 108.47, 101.80, 90.00 degrees
Last column: magnetic moment on the atom in μB.
Fractional coordinates of all 10 atoms:
Y 0.6062 0.7982 0.2124  -0.01
Y 0.9142 0.7074 0.8285  0.03
Y 0.3938 0.2018 0.7876  -0.01
Y 0.0858 0.2926 0.1715  0.03
Tm 0.2111 0.6159 0.4221  -0.08
Tm 0.1891 0.0786 0.3781  0.02
Tm 0.8109 0.9214 0.6219  0.02
Tm 0.5000 0.5000 0.0000  -0.07
Tm 0.7889 0.3841 0.5779  -0.08
Pu 0.5000 0.0000 0.0000  5.56

[6]
Computed, not measured: a relaxed Pm4MnGa12 crystal at the GGA-PBE level of DFT.

Its total magnetic moment is 2.5 μB/f.u. Its density of states at the Fermi level is 6.08 states/eV/cell. The calculated volume is 19.66 A^3/atom. Its energy of formation is -0.546 eV/atom. As for the space-group type: Im-3m, No. 229.

Cell lengths 7.5720, 7.5720, 7.5720 Å; angles 109.47, 109.47, 109.47 degrees
Last column: magnetic moment on the atom in μB.
Fractional coordinates of all 17 atoms:
Pm 0.0000 0.0000 0.5000  -0.01
Pm 0.5000 0.0000 0.0000  -0.01
Pm 0.5000 0.5000 0.5000  -0.01
Pm 0.0000 0.5000 0.0000  -0.01
Mn 0.0000 0.0000 0.0000  2.49
Ga 0.0000 0.2880 0.2880  -0.02
Ga 0.0000 0.7120 0.7120  -0.02
Ga 0.7120 0.7120 0.0000  -0.02
Ga 0.2880 0.2880 0.0000  -0.02
Ga 0.2880 0.0000 0.2880  -0.02
Ga 0.7120 0.0000 0.7120  -0.02
Ga 0.5000 0.2500 0.7500  0.01
Ga 0.5000 0.7500 0.2500  0.01
Ga 0.7500 0.2500 0.5000  0.01
Ga 0.2500 0.7500 0.5000  0.01
Ga 0.7500 0.5000 0.2500  0.01
Ga 0.2500 0.5000 0.7500  0.01

[7]
Computed, not measured: a relaxed Pm2Zn3Ni2 crystal at the GGA-PBE level of DFT.

Its total magnetic moment is 0.0 μB/f.u. Its density of states at the Fermi level is 6.09 states/eV/cell. The calculated volume is 18.52 A^3/atom. Its energy of formation is -0.331 eV/atom. As for the space-group type: C2/m, No. 12.

Cell lengths 4.3517, 5.3351, 6.3753 Å; angles 104.92, 90.00, 114.07 degrees
Fractional coordinates of all 7 atoms:
Pm 0.6176 0.2352 0.3490
Pm 0.3824 0.7648 0.6510
Zn 0.2865 0.5730 0.1201
Zn 0.0000 0.0000 0.0000
Zn 0.7135 0.4270 0.8799
Ni 0.0949 0.1898 0.6812
Ni 0.9051 0.8102 0.3188

[8]
Computed, not measured: a relaxed LiCdAgPt crystal at the GGA-PBE level of DFT.

Its total magnetic moment is 0.0 μB/f.u. Its density of states at the Fermi level is 0.88 states/eV/cell. The calculated volume is 16.89 A^3/atom. Its energy of formation is -0.334 eV/atom. As for the space-group type: I-4m2, No. 119.

Cell lengths 4.1491, 4.1491, 4.9001 Å; angles 115.04, 115.05, 90.00 degrees
Fractional coordinates of all 4 atoms:
Li 0.0000 0.0000 0.0000
Cd 0.2500 0.7500 0.5000
Ag 0.7500 0.2500 0.5000
Pt 0.5000 0.5000 0.0000

[9]
Computed, not measured: a relaxed LaPuGaAg crystal at the GGA-PBE level of DFT.

Its total magnetic moment is 6.0 μB/f.u. Its density of states at the Fermi level is 11.65 states/eV/cell. The calculated volume is 25.91 A^3/atom. Its energy of formation is -0.205 eV/atom. As for the space-group type: F-43m, No. 216.

Cell lengths 5.2725, 5.2725, 5.2725 Å; angles 60.00, 60.00, 60.00 degrees
Last column: magnetic moment on the atom in μB.
Fractional coordinates of all 4 atoms:
La 0.5000 0.5000 0.5000  0.11
Ga 0.7500 0.7500 0.7500  -0.02
Ag 0.2500 0.2500 0.2500  0.03
Pu 0.0000 0.0000 0.0000  5.43

[10]
Computed, not measured: a relaxed Zr2FeW crystal at the GGA-PBE level of DFT.

For the offset from the most stable computed form, the calculation gives 190.1 meV/atom. Its total magnetic moment is 1.0 μB/f.u. Its density of states at the Fermi level is 4.46 states/eV/cell. The calculated volume is 17.66 A^3/atom. Its energy of formation is 0.234 eV/atom. As for the space-group type: Immm, No. 71.

Cell lengths 5.2343, 5.2343, 4.8662 Å; angles 62.27, 62.27, 37.46 degrees
Last column: magnetic moment on the atom in μB.
Fractional coordinates of all 4 atoms:
Fe 0.7500 0.7500 0.7500  1.29
W 0.2500 0.2500 0.2500  0.09
Zr 0.0179 0.0179 0.9822  -0.14
Zr 0.4821 0.4821 0.5178  -0.14

[11]
Computed, not measured: a relaxed Ba3Li2 crystal at the GGA-PBE level of DFT.

For the offset from the most stable computed form, the calculation gives 83.1 meV/atom. Its total magnetic moment is 0.0 μB/f.u. Its density of states at the Fermi level is 7.83 states/eV/cell. The calculated volume is 49.24 A^3/atom. Its energy of formation is 0.120 eV/atom. As for the space-group type: P-3m1, No. 164.

Cell lengths 6.1368, 6.1368, 7.5481 Å; angles 90.00, 90.00, 120.00 degrees
Fractional coordinates of all 5 atoms:
Ba 0.0000 0.0000 0.0000
Ba 0.6667 0.3333 0.6598
Ba 0.3333 0.6667 0.3402
Li 0.6667 0.3333 0.1428
Li 0.3333 0.6667 0.8572

[12]
Computed, not measured: a relaxed Pm3Dy2Ge2 crystal at the GGA-PBE level of DFT.

Its total magnetic moment is 0.0 μB/f.u. Its density of states at the Fermi level is 6.57 states/eV/cell. The calculated volume is 28.47 A^3/atom. Its energy of formation is -0.516 eV/atom. As for the space-group type: C2/m, No. 12.

Cell lengths 4.2144, 6.3650, 8.3988 Å; angles 109.18, 90.00, 109.33 degrees
Fractional coordinates of all 7 atoms:
Pm 0.5000 0.0000 0.0000
Pm 0.6290 0.2579 0.4390
Pm 0.3710 0.7421 0.5610
Dy 0.8490 0.6981 0.1962
Dy 0.1510 0.3019 0.8038
Ge 0.8228 0.6455 0.8048
Ge 0.1772 0.3545 0.1952

[13]
Computed, not measured: a relaxed SiBr2Cl crystal at the GGA-PBE level of DFT.

For the offset from the most stable computed form, the calculation gives 690.7 meV/atom. Its total magnetic moment is 0.0 μB/f.u. Its density of states at the Fermi level is 2.65 states/eV/cell. The calculated volume is 28.94 A^3/atom. The value obtained for the energy relative to the elements, uncorrected is 0.214 eV per atom. As for the space-group type: Fmmm, No. 69.

Cell lengths 5.4082, 5.4082, 5.3703 Å; angles 76.53, 76.53, 122.58 degrees
Fractional coordinates of all 4 atoms:
Br 0.0000 0.0000 0.0000
Br 0.5000 0.5000 0.0000
Cl 0.5000 0.0000 0.5000
Si 0.0000 0.5000 0.5000